[1]
Compound: Sr2MnC
Source: Alexandria
Functional: GGA-PBE
Structure: relaxed

a = 10.819 Å, b = 10.819 Å, c = 3.847 Å
α = 90.00°, β = 90.00°, γ = 90.00°
Space group I-42d (No. 122)
Symmetry-distinct sites (fractional):
1 Sr 0.058 0.250 0.125 (multiplicity 8)
2 Mn 0.000 0.000 0.500 (multiplicity 4)
3 C 0.000 0.000 0.000 (multiplicity 4)

Results
**Energy relative to the elements**: 0.278 eV per atom
**VASP energy**: -5.161 eV/atom

[2]
Compound: La2Dy4Er5
Source: Alexandria
Functional: GGA-PBE
Structure: relaxed

a = 3.570 Å, b = 8.731 Å, c = 11.816 Å
α = 75.64°, β = 81.32°, γ = 89.97°
Space group P-1 (No. 2)
Symmetry-distinct sites (fractional):
1 La 0.092 0.229 0.317 (multiplicity 2)
2 Dy 0.182 0.953 0.135 (multiplicity 2)
3 Dy 0.453 0.141 0.594 (multiplicity 2)
4 Er 0.000 0.500 0.500 (multiplicity 1)
5 Er 0.271 0.681 0.958 (multiplicity 2)
6 Er 0.363 0.406 0.774 (multiplicity 2)

Results
**Energy relative to the elements**: 0.027 eV per atom
**Offset from the most stable computed form**: 0.0 meV per atom
**VASP energy**: -4.616 eV/atom

[3]
Compound: Na2SmSe2O6
Source: Alexandria
Functional: GGA-PBE
Structure: relaxed

a = 8.521 Å, b = 5.858 Å, c = 6.983 Å
α = 90.00°, β = 113.72°, γ = 90.00°
Space group C2/m (No. 12)
Symmetry-distinct sites (fractional):
1 Na 0.198 0.000 0.115 (multiplicity 4)
2 Sm 0.000 0.000 0.500 (multiplicity 2)
3 Se 0.092 0.500 0.237 (multiplicity 4)
4 O 0.046 0.259 0.786 (multiplicity 8)
5 O 0.215 0.500 0.504 (multiplicity 4)

Results
**VASP energy**: -5.528 eV/atom
**Raw formation energy**: -1521 meV/atom

[4]
Compound: MnAg2Au
Source: Alexandria
Functional: GGA-PBE
Structure: relaxed

a = 6.521 Å, b = 6.521 Å, c = 6.521 Å
α = 90.00°, β = 90.00°, γ = 90.00°
Space group F-43m (No. 216)
Symmetry-distinct sites (fractional):
1 Mn 0.000 0.000 0.000 (multiplicity 4)
2 Ag 0.000 0.000 0.500 (multiplicity 4)
3 Ag 0.250 0.250 0.750 (multiplicity 4)
4 Au 0.250 0.250 0.250 (multiplicity 4)

Results
**Energy relative to the elements**: 0.080 eV per atom
**VASP energy**: -4.458 eV/atom

[5]
Compound: Hf2TeRh
Source: Alexandria
Functional: GGA-PBE
Structure: relaxed

a = 7.553 Å, b = 7.553 Å, c = 6.033 Å
α = 90.00°, β = 90.00°, γ = 90.00°
Space group I-42d (No. 122)
Symmetry-distinct sites (fractional):
1 Hf 0.215 0.250 0.125 (multiplicity 8)
2 Te 0.000 0.000 0.500 (multiplicity 4)
3 Rh 0.000 0.000 0.000 (multiplicity 4)

Results
**VASP energy**: -7.931 eV/atom
**Raw formation energy**: -331 meV/atom

[6]
Compound: BeAgRh2
Source: Alexandria
Functional: GGA-PBE
Structure: relaxed

a = 2.864 Å, b = 4.422 Å, c = 8.552 Å
α = 90.00°, β = 90.00°, γ = 90.00°
Space group Imm2 (No. 44)
Symmetry-distinct sites (fractional):
1 Be 0.000 0.000 0.000 (multiplicity 2)
2 Ag 0.000 0.500 0.275 (multiplicity 2)
3 Rh 0.000 0.000 0.485 (multiplicity 2)
4 Rh 0.000 0.500 0.707 (multiplicity 2)

Results
**Energy relative to the elements**: 0.055 eV per atom
**VASP energy**: -5.265 eV/atom

[7]
Compound: Sc6SbAs3S2
Source: Alexandria
Functional: GGA-PBE
Structure: relaxed

a = 16.836 Å, b = 3.867 Å, c = 7.775 Å
α = 90.00°, β = 103.11°, γ = 90.00°
Space group C2/m (No. 12)
Symmetry-distinct sites (fractional):
1 Sc 0.004 0.000 0.268 (multiplicity 4)
2 Sc 0.168 0.500 0.584 (multiplicity 4)
3 Sc 0.175 0.500 0.089 (multiplicity 4)
4 Sb 0.000 0.500 0.000 (multiplicity 2)
5 As 0.000 0.500 0.500 (multiplicity 2)
6 As 0.164 0.000 0.832 (multiplicity 4)
7 S 0.170 0.000 0.338 (multiplicity 4)

Results
**VASP energy**: -6.816 eV/atom
**Raw formation energy**: -1456 meV/atom

[8]
Compound: PrErTmHg
Source: Alexandria
Functional: GGA-PBE
Structure: relaxed

a = 3.621 Å, b = 3.621 Å, c = 8.899 Å
α = 90.00°, β = 90.00°, γ = 90.00°
Space group P4mm (No. 99)
Symmetry-distinct sites (fractional):
1 Pr 0.000 0.000 0.000 (multiplicity 1)
2 Er 0.500 0.500 0.714 (multiplicity 1)
3 Tm 0.500 0.500 0.286 (multiplicity 1)
4 Hg 0.000 0.000 0.497 (multiplicity 1)

Results
**Energy relative to the elements**: -0.237 eV per atom
**Offset from the most stable computed form**: 0.0 meV per atom
**VASP energy**: -3.766 eV/atom